The following is a DFT calculation (PBE) of a relaxed structure of C3Se.

Lattice parameters (Å, degrees): 3.573 3.573 3.573 109.47 109.47 109.47
Fractional positions:
1 C 0.500 0.000 0.500
2 C 0.000 0.500 0.500
3 C 0.000 0.000 0.000
4 Se 0.500 0.500 0.000

Space-group type: No. 229
Energy above the most stable polymorph in this dataset: 1.3816 eV/atom
ΔE_f (raw): 10.82 eV/f.u.
Theoretical density: 5.439 g/cm3
Total energy: -5.085 eV/atom

The following is a DFT calculation (PBE) of a relaxed structure of CdIrS2Cl.

Lattice parameters (Å, degrees): 4.953 4.953 5.017 90.00 90.00 90.00
Fractional positions:
1 S 0.000 0.500 0.000
2 S 0.500 0.000 0.000
3 Ir 0.500 0.500 0.500
4 Cd 0.000 0.000 0.000
5 Cl 0.000 0.000 0.500

Space-group type: No. 123
Energy above the most stable polymorph in this dataset: 1.1115 eV/atom
ΔE_f (raw): 6.51 eV/f.u.
Theoretical density: 5.453 g/cm3
Total energy: -2.674 eV/atom

The following is a DFT calculation (PBE) of a relaxed structure of Pr2ScSn3Rh4.

Lattice parameters (Å, degrees): 4.384 4.384 11.332 90.00 90.00 90.00
Fractional positions:
1 Pr 0.500 0.000 0.240
2 Pr 0.000 0.500 0.760
3 Sn 0.000 0.000 0.500
4 Sn 0.500 0.000 0.871
5 Sn 0.000 0.500 0.129
6 Rh 0.000 0.500 0.360
7 Rh 0.500 0.500 0.000
8 Rh 0.500 0.000 0.640
9 Rh 0.000 0.000 0.000
10 Sc 0.500 0.500 0.500

Space-group type: No. 115
Theoretical density: 8.346 g/cm3
Energy relative to the elements: -774 meV per atom
Total energy: -6.505 eV/atom

The following is a DFT calculation (PBE) of a relaxed structure of RbSn2Au2.

Lattice parameters (Å, degrees): 5.003 5.003 6.469 107.90 107.90 93.48
Fractional positions:
1 Au 0.201 0.799 0.500
2 Au 0.799 0.201 0.500
3 Sn 0.394 0.394 0.706
4 Sn 0.606 0.606 0.294
5 Rb 0.000 0.000 0.000

Space-group type: No. 12
Energy above the most stable polymorph in this dataset: 0.0000 eV/atom
Theoretical density: 8.240 g/cm3
Energy relative to the elements: -277 meV per atom
Total energy: -3.383 eV/atom

The following is a DFT calculation (PBE) of a relaxed structure of RbMgTe2I.

Lattice parameters (Å, degrees): 6.805 6.805 6.751 90.00 90.00 90.00
Fractional positions:
1 Rb 0.000 0.000 0.000
2 Te 0.500 0.000 0.000
3 Te 0.000 0.500 0.000
4 Mg 0.500 0.500 0.500
5 I 0.000 0.000 0.500

Space-group type: No. 123
Energy above the most stable polymorph in this dataset: 1.1113 eV/atom
ΔE_f (raw): 2.65 eV/f.u.
Theoretical density: 2.613 g/cm3
Total energy: -1.549 eV/atom

The following is a DFT calculation (PBE) of a relaxed structure of U4SiC2.

Lattice parameters (Å, degrees): 6.091 6.091 8.103 115.41 115.41 81.86
Fractional positions:
1 U 0.117 0.788 0.135
2 U 0.212 0.883 0.865
3 U 0.538 0.367 0.635
4 U 0.098 0.268 0.635
5 U 0.633 0.462 0.365
6 U 0.732 0.902 0.365
7 U 0.018 0.348 0.135
8 U 0.652 0.982 0.865
9 C 0.875 0.625 0.750
10 C 0.875 0.125 0.250
11 C 0.875 0.125 0.750
12 C 0.375 0.125 0.250
13 Si 0.500 0.500 0.000
14 Si 0.250 0.750 0.500

Space-group type: No. 70
ΔE_f (raw): 0.02 eV/f.u.
Theoretical density: 13.616 g/cm3
Total energy: -9.858 eV/atom

The following is a DFT calculation (PBE) of a relaxed structure of LaLuMgTc.

Lattice parameters (Å, degrees): 5.098 5.098 5.098 60.00 60.00 60.00
Fractional positions:
1 La 0.250 0.250 0.250
2 Mg 0.500 0.500 0.500
3 Lu 0.750 0.750 0.750
4 Tc 0.000 0.000 0.000

Space-group type: No. 216
Theoretical density: 7.730 g/cm3
Energy relative to the elements: 40 meV per atom
Total energy: -5.312 eV/atom

The following is a DFT calculation (PBE) of a relaxed structure of YTe2Se.

Lattice parameters (Å, degrees): 5.143 5.143 4.011 90.00 90.00 90.00
Fractional positions:
1 Se 0.000 0.500 0.500
2 Te 0.000 0.000 0.000
3 Te 0.500 0.500 0.000
4 Y 0.500 0.000 0.500

Space-group type: No. 123
ΔE_f (raw): -1.97 eV/f.u.
Theoretical density: 6.621 g/cm3
Total energy: -4.552 eV/atom

The following is a DFT calculation (PBE) of a relaxed structure of FeMo2Cl.

Lattice parameters (Å, degrees): 4.730 4.730 4.615 74.87 74.87 35.09
Fractional positions:
1 Fe 0.745 0.745 0.808
2 Cl 0.491 0.491 0.477
3 Mo 0.247 0.247 0.299
4 Mo 0.017 0.017 0.916

Space-group type: No. 8
Energy above the most stable polymorph in this dataset: 0.3048 eV/atom
ΔE_f (raw): 2.36 eV/f.u.
Theoretical density: 8.237 g/cm3
Total energy: -7.403 eV/atom

The following is a DFT calculation (PBE) of a relaxed structure of SrReC3.

Lattice parameters (Å, degrees): 4.102 4.102 4.102 90.00 90.00 90.00
Fractional positions:
1 C 0.000 0.500 0.000
2 C 0.500 0.000 0.000
3 C 0.000 0.000 0.500
4 Re 0.000 0.000 0.000
5 Sr 0.500 0.500 0.500

Space-group type: No. 221
Energy above the most stable polymorph in this dataset: 0.0000 eV/atom
Theoretical density: 7.455 g/cm3
Energy relative to the elements: 885 meV per atom
Total energy: -7.475 eV/atom

The following is a DFT calculation (PBE) of a relaxed structure of K3Rh.

Lattice parameters (Å, degrees): 5.267 5.267 5.267 90.00 90.00 90.00
Fractional positions:
1 Rh 0.000 0.000 0.000
2 K 0.500 0.500 0.000
3 K 0.500 0.000 0.500
4 K 0.000 0.500 0.500

Space-group type: No. 221
Theoretical density: 2.503 g/cm3
Energy relative to the elements: 640 meV per atom
Total energy: -2.021 eV/atom

The following is a DFT calculation (PBE) of a relaxed structure of La7Pt.

Lattice parameters (Å, degrees): 7.098 7.098 7.098 60.00 60.00 60.00
Fractional positions:
1 La 0.500 0.500 0.500
2 La 0.500 0.000 0.500
3 La 0.000 0.500 0.000
4 La 0.000 0.500 0.500
5 La 0.500 0.500 0.000
6 La 0.500 0.000 0.000
7 La 0.000 0.000 0.500
8 Pt 0.000 0.000 0.000

Space-group type: No. 225
Theoretical density: 7.666 g/cm3
Energy relative to the elements: -87 meV per atom
Total energy: -5.154 eV/atom